(1)
This record from Alexandria describes a relaxed structure of CoRh2. The functional is GGA-PBE.

abc: 4.505 8.168 4.462
angles: 90.00 90.00 90.00
Fractional positions:
Co (0.000, 0.169, 0.000)
Co (0.000, 0.831, 0.000)
Co (0.500, 0.331, 0.000)
Co (0.500, 0.669, 0.000)
Rh (0.000, 0.000, 0.500)
Rh (0.000, 0.327, 0.500)
Rh (0.000, 0.500, 0.000)
Rh (0.000, 0.673, 0.500)
Rh (0.500, 0.000, 0.000)
Rh (0.500, 0.173, 0.500)
Rh (0.500, 0.500, 0.500)
Rh (0.500, 0.827, 0.500)

Values from the calculation:
The calculated formation energy is 0.255 eV/atom. The crystal system is orthorhombic. As for the space group: Cmmm. As for the density: 10.7 Mg/m³.

(2)
This record from Alexandria describes a relaxed structure of Ce2Al3Pt4. The functional is GGA-PBE.

abc: 8.329 8.329 7.486
angles: 90.00 90.00 139.93
Fractional positions:
Ce (0.106, 0.894, 0.907)
Ce (0.394, 0.606, 0.407)
Ce (0.606, 0.394, 0.593)
Ce (0.894, 0.106, 0.093)
Al (0.000, 0.000, 0.500)
Al (0.021, 0.479, 0.750)
Al (0.479, 0.021, 0.250)
Al (0.500, 0.500, 0.000)
Al (0.521, 0.979, 0.750)
Al (0.979, 0.521, 0.250)
Pt (0.179, 0.821, 0.527)
Pt (0.187, 0.313, 0.750)
Pt (0.313, 0.187, 0.250)
Pt (0.321, 0.679, 0.027)
Pt (0.679, 0.321, 0.973)
Pt (0.687, 0.813, 0.750)
Pt (0.813, 0.687, 0.250)
Pt (0.821, 0.179, 0.473)

Values from the calculation:
The calculated formation energy is -1.081 eV/atom. The crystal system is orthorhombic. As for the space group: Cmce. As for the density: 11.3 Mg/m³.

(3)
This record from Alexandria describes a relaxed structure of LaMg14Mo. The functional is GGA-PBE.

abc: 10.449 6.515 6.515
angles: 56.20 90.00 90.00
Fractional positions:
La (0.000, 0.000, 0.000)
Mg (0.000, 0.003, 0.495)
Mg (0.000, 0.495, 0.003)
Mg (0.227, 0.638, 0.638)
Mg (0.249, 0.155, 0.640)
Mg (0.249, 0.640, 0.155)
Mg (0.266, 0.152, 0.152)
Mg (0.500, 0.490, 0.490)
Mg (0.500, 0.494, 0.985)
Mg (0.500, 0.985, 0.494)
Mg (0.500, 0.985, 0.985)
Mg (0.734, 0.152, 0.152)
Mg (0.751, 0.155, 0.640)
Mg (0.751, 0.640, 0.155)
Mg (0.773, 0.638, 0.638)
Mo (0.000, 0.481, 0.481)

Values from the calculation:
The calculated formation energy is 0.106 eV/atom. The crystal system is orthorhombic. As for the space group: Amm2. As for the density: 2.6 Mg/m³. The value obtained for the energy above the most stable polymorph in this dataset is 0.0 kJ per mole of atoms.

(4)
This record from Alexandria describes a relaxed structure of CrIn3Cl6. The functional is GGA-PBE.

abc: 8.548 8.548 8.548
angles: 88.76 88.76 88.76
Fractional positions:
Cr (0.000, 0.000, 0.000)
Cr (0.500, 0.500, 0.500)
In (0.125, 0.750, 0.375)
In (0.250, 0.625, 0.875)
In (0.375, 0.125, 0.750)
In (0.625, 0.875, 0.250)
In (0.750, 0.375, 0.125)
In (0.875, 0.250, 0.625)
Cl (0.063, 0.925, 0.740)
Cl (0.075, 0.260, 0.937)
Cl (0.240, 0.425, 0.563)
Cl (0.260, 0.937, 0.075)
Cl (0.425, 0.563, 0.240)
Cl (0.437, 0.760, 0.575)
Cl (0.563, 0.240, 0.425)
Cl (0.575, 0.437, 0.760)
Cl (0.740, 0.063, 0.925)
Cl (0.760, 0.575, 0.437)
Cl (0.925, 0.740, 0.063)
Cl (0.937, 0.075, 0.260)

Values from the calculation:
The crystal system is trigonal. As for the space group: R-3c. The uncorrected formation energy comes out at -0.943 eV/atom. As for the density: 3.2 Mg/m³. The value obtained for the energy above the most stable polymorph in this dataset is 0.0 kJ per mole of atoms.

(5)
This record from Alexandria describes a relaxed structure of Nd2ScAl3. The functional is GGA-PBE.

abc: 5.921 5.921 9.292
angles: 90.00 90.00 120.00
Fractional positions:
Nd (0.333, 0.667, 0.063)
Nd (0.333, 0.667, 0.437)
Nd (0.667, 0.333, 0.563)
Nd (0.667, 0.333, 0.937)
Sc (0.000, 0.000, 0.000)
Sc (0.000, 0.000, 0.500)
Al (0.174, 0.347, 0.750)
Al (0.174, 0.826, 0.750)
Al (0.347, 0.174, 0.250)
Al (0.653, 0.826, 0.750)
Al (0.826, 0.174, 0.250)
Al (0.826, 0.653, 0.250)

Values from the calculation:
The calculated formation energy is -0.425 eV/atom. The crystal system is hexagonal. As for the space group: P6_3/mmc. As for the density: 4.9 Mg/m³.

(6)
This record from Alexandria describes a relaxed structure of ScPt2Br. The functional is GGA-PBE.

abc: 3.127 4.726 9.912
angles: 90.00 90.00 90.00
Fractional positions:
Sc (0.000, 0.000, 0.000)
Sc (0.500, 0.500, 0.500)
Pt (0.000, 0.500, 0.265)
Pt (0.000, 0.500, 0.735)
Pt (0.500, 0.000, 0.235)
Pt (0.500, 0.000, 0.765)
Br (0.000, 0.000, 0.500)
Br (0.500, 0.500, 0.000)

Values from the calculation:
The crystal system is orthorhombic. As for the space group: Immm. The uncorrected formation energy comes out at -0.527 eV/atom. As for the density: 11.7 Mg/m³. The value obtained for the energy above the most stable polymorph in this dataset is 25.5 kJ per mole of atoms.